Entry 1:
DFT (PBE) results for a geometry-optimized TlReAgTe3 structure.

The structure in CIF format:
```
data_TlReAgTe3
_chemical_formula_sum 'Tl4 Re4 Ag4 Te12'
_cell_length_a 4.053
_cell_length_b 14.669
_cell_length_c 10.849
_cell_angle_alpha 90.00
_cell_angle_beta 90.00
_cell_angle_gamma 90.00
_symmetry_space_group_name_H-M 'C m c m'
_symmetry_Int_Tables_number 63
_symmetry_space_group_name_Hall '-C 2c 2'
loop_
_atom_site_label
_atom_site_fract_x
_atom_site_fract_y
_atom_site_fract_z
Tl1 0.000 0.233 0.250
Re1 0.000 0.000 0.000
Ag1 0.000 0.443 0.750
Te1 0.000 0.072 0.750
Te2 0.000 0.372 0.517
```

Calculated values
**Electronic total energy**: -4.305 eV per atom
**M_tot**: 2.0 μB/f.u.

Entry 2:
DFT (PBE) results for a geometry-optimized TlReAg2 structure.

The structure in CIF format:
```
data_TlReAg2
_chemical_formula_sum 'Tl4 Re4 Ag8'
_cell_length_a 6.640
_cell_length_b 6.640
_cell_length_c 6.640
_cell_angle_alpha 90.00
_cell_angle_beta 90.00
_cell_angle_gamma 90.00
_symmetry_space_group_name_H-M 'F -4 3 m'
_symmetry_Int_Tables_number 216
_symmetry_space_group_name_Hall 'F -4 2 3'
loop_
_atom_site_label
_atom_site_fract_x
_atom_site_fract_y
_atom_site_fract_z
Tl1 0.000 0.000 0.000
Re1 0.250 0.250 0.250
Ag1 0.000 0.000 0.500
Ag2 0.250 0.250 0.750
```

Calculated values
**Electronic total energy**: -4.195 eV per atom
**M_tot**: 1.8 μB/f.u.

Theoretical density (g/cm³)
9.1, 13.8